(1)
Material: Dy2YBi
Method: DFT, GGA-PBE
State: optimized geometry

Geometry as POSCAR:
```
Dy2YBi
1.0
4.220 0.000 0.000
0.000 4.220 0.000
0.000 0.000 6.767
Dy Y Bi
2 1 1
direct
0.000 0.000 0.240
0.000 0.000 0.760
0.500 0.500 0.500
0.500 0.500 0.000
```

Computed properties:
Formation energy = -1.4 eV/f.u.
VASP energy = -5.242 eV per atom
Space group = P4/mmm (123)
Energy relative to the lowest polymorph listed for this composition = 43 meV per atom

(2)
Material: ZrMo2Os
Method: DFT, GGA-PBE
State: optimized geometry

Geometry as POSCAR:
```
ZrMo2Os
1.0
2.851 0.000 0.000
0.000 4.476 0.000
-0.931 0.000 5.228
Zr Mo Os
1 2 1
direct
0.000 0.000 0.000
0.521 0.000 0.500
0.741 0.500 0.269
0.257 0.500 0.752
```

Computed properties:
Formation energy = 0.0 eV/f.u.
VASP energy = -10.358 eV per atom
Space group = Pm (6)
Energy relative to the lowest polymorph listed for this composition = 127 meV per atom

(3)
Material: ZnTeSe2
Method: DFT, GGA-PBE
State: optimized geometry

Geometry as POSCAR:
```
ZnTeSe2
1.0
1.854 -2.404 0.000
1.854 2.404 0.000
0.000 0.000 10.998
Zn Te Se
1 1 2
direct
0.000 0.000 0.000
0.500 0.500 0.217
0.000 0.000 0.512
0.500 0.500 0.840
```

Computed properties:
VASP energy = -2.567 eV per atom
Space group = Cmm2 (35)
Energy relative to the lowest polymorph listed for this composition = 404 meV per atom
Formation energy (no corrections) = 0.2794 eV/atom

(4)
Material: HoB
Method: DFT, GGA-PBE
State: optimized geometry

Geometry as POSCAR:
```
HoB
1.0
3.527 0.000 0.000
0.000 3.182 0.000
-1.754 0.000 6.396
Ho B
2 2
direct
0.125 0.250 0.251
0.875 0.750 0.749
0.477 0.250 0.952
0.523 0.750 0.048
```

Computed properties:
Formation energy = -0.8 eV/f.u.
VASP energy = -6.031 eV per atom
Space group = P2_1/m (11)

What size of the total moment values result from the calculations? In sequence: 0.000; 0.000; 0.000; 0.000 μB per atom.